Compound: LiSi2Ag2
Source: Alexandria via LeMat-Bulk
Functional: GGA-PBE
Structure: relaxed

a = 4.2351 Å, b = 4.2351 Å, c = 5.9860 Å
α = 69.28°, β = 69.28°, γ = 90.00°
Fractional coordinates of all 5 atoms:
Ag1 0.7500 0.2500 0.5000
Si1 0.3913 0.3913 0.2175
Li1 0.0000 0.0000 0.0000
Si2 0.6087 0.6087 0.7825
Ag2 0.2500 0.7500 0.5000

Calculated values
For the formation energy without anion corrections, the calculation gives 77.0 meV/atom. Its total magnetization is 0.000 μB/f.u.